{"formula": "SiB6Pt12", "functional": "PBE", "state": "optimized geometry", "raw_formation_energy_ev_per_atom": -0.210, "energy_ev_per_atom": -6.42, "n_ef_per_ev_atom": 0.2741, "lattice_angstrom": [[-7.461, -4.084, 0.888], [3.509, -1.611, -5.380], [0.394, -6.597, 0.423]], "species": ["Pt", "B", "B", "B", "Pt", "Pt", "Pt", "Pt", "B", "Pt", "Si", "Pt", "B", "Pt", "Pt", "Pt", "Pt", "Pt", "B"], "fractional_positions": [[0.435, 0.866, 0.385], [0.398, 0.549, 0.289], [0.151, 0.838, 0.451], [0.849, 0.162, 0.549], [0.565, 0.134, 0.615], [0.090, 0.162, 0.577], [0.667, 0.577, 0.261], [0.910, 0.838, 0.423], [0.313, 0.711, 0.838], [0.821, 0.385, 0.749], [0.000, 0.000, 0.000], [0.072, 0.739, 0.838], [0.602, 0.451, 0.711], [0.430, 0.251, 0.134], [0.928, 0.261, 0.162], [0.179, 0.615, 0.251], [0.333, 0.423, 0.739], [0.570, 0.749, 0.866], [0.687, 0.289, 0.162]]}



{"formula": "Y2InGe", "functional": "PBE", "state": "optimized geometry", "formation_energy_mev_per_atom": -548, "energy_ev_per_atom": -5.62, "n_ef_per_ev_atom": 1.1897, "lattice_angstrom": [[-0.328, -1.921, -3.255], [3.570, 0.914, -0.899], [2.249, -5.700, 3.138]], "species": ["Y", "In", "Y", "Ge"], "fractional_positions": [[0.000, 0.000, 0.729], [0.500, 0.500, 0.000], [0.000, 0.000, 0.271], [0.500, 0.500, 0.500]]}



{"formula": "Th4Pt3Rh", "functional": "PBE", "state": "optimized geometry", "formation_energy_mev_per_atom": -1126, "energy_ev_per_atom": -8.02, "relative_energy_ev_per_fu": 0.04, "n_ef_per_ev_atom": 0.6239, "lattice_angstrom": [[5.909, 0.000, 0.000], [0.000, 5.909, 0.000], [0.000, 0.000, 5.909]], "species": ["Th", "Pt", "Pt", "Rh", "Th", "Th", "Pt", "Th"], "fractional_positions": [[0.000, 0.000, 0.500], [0.500, 0.000, 0.500], [0.000, 0.500, 0.500], [0.000, 0.000, 0.000], [0.500, 0.500, 0.500], [0.000, 0.500, 0.000], [0.500, 0.500, 0.000], [0.500, 0.000, 0.000]]}



{"formula": "TaCl2", "functional": "PBE", "state": "optimized geometry", "raw_formation_energy_ev_per_atom": -0.671, "energy_ev_per_atom": -5.85, "n_ef_per_ev_atom": 0.4203, "lattice_angstrom": [[-1.370, 7.724, 0.063], [0.091, -7.357, 2.721], [5.635, 0.979, 2.460]], "species": ["Ta", "Cl", "Ta", "Cl", "Cl", "Cl"], "fractional_positions": [[0.000, 0.000, 0.750], [0.624, 0.376, 0.250], [0.000, 0.000, 0.250], [0.624, 0.376, 0.750], [0.376, 0.624, 0.750], [0.376, 0.624, 0.250]]}